# 1
A relaxed structure of Ti3GaSe, computed with PBE.

abc: 4.653 4.653 4.653
angles: 90.00 90.00 90.00
Atoms (fractional coordinates):
Ti  0.000  0.000  0.500
Ti  0.000  0.500  0.000
Se  0.000  0.000  0.000
Ti  0.500  0.000  0.000
Ga  0.500  0.500  0.500

Results
Fermi-level density of states	6.5	states/eV/f.u.
crystal system	cubic
ΔE to the lowest computed polymorph	513	meV/atom
E_form (uncorrected)	36	meV per atom

***

# 2
A relaxed structure of SrTbTm2, computed with PBE.

abc: 3.653 3.653 10.505
angles: 90.00 90.00 90.00
Atoms (fractional coordinates):
Tm  0.000  0.000  0.780
Tb  0.500  0.500  0.000
Tm  0.000  0.000  0.220
Sr  0.500  0.500  0.500

Results
Fermi-level density of states	5.6	states/eV/f.u.
crystal system	tetragonal
formation enthalpy at 0 K	0.14	eV/atom
ΔE to the lowest computed polymorph	0	meV/atom